*A*
The following is a PBE calculation of CsCdSnHg2 after structural relaxation, from Alexandria.

The structure belongs to space group P4/mmm (No. 123); the cell edges are 5.8830, 5.8830 and 5.5891 Å and the angles 90.00°, 90.00° and 90.00°. The distinct sites, in fractional coordinates, are Cs at (0.0000, 0.0000, 0.0000), Cd at (0.5000, 0.5000, 0.5000), Sn at (0.5000, 0.5000, 0.0000) and Hg at (0.0000, 0.5000, 0.5000).

The calculation puts the density of states at the Fermi level at 4.00 states/eV/cell. As for the volume: 193.43 Å³ per cell.


*B*
The following is a PBE calculation of CsCdSnHg2 after structural relaxation, from Alexandria.

The structure belongs to space group P4/mmm (No. 123); the cell edges are 6.0672, 6.0672 and 5.5788 Å and the angles 90.00°, 90.00° and 90.00°. The distinct sites, in fractional coordinates, are Cs at (0.0000, 0.0000, 0.0000), Cd at (0.5000, 0.5000, 0.0000), Sn at (0.5000, 0.5000, 0.5000) and Hg at (0.0000, 0.5000, 0.5000).

The calculation puts the density of states at the Fermi level at 2.47 states/eV/cell. As for the volume: 205.36 Å³ per cell.


Sorted by energy, starting with the most stable: *B*, *A*.